GGA-PBE B3MoCl, optimized geometry; calculated volume = 80.50 Å³/f.u.; ΔE_f (raw) = 1718 meV per atom; distance to the lowest polymorph of the same formula = 0.00 eV per formula unit; magnetization = 1.302 μB per formula unit
1.0
4.318 0.000 0.000
0.000 4.318 0.000
0.000 0.000 4.318
Mo Cl B
1 1 3
Direct
0.000 0.000 0.000 Mo
0.500 0.500 0.500 Cl
0.000 0.500 0.000 B
0.000 0.000 0.500 B
0.500 0.000 0.000 B